# 1
This record from Alexandria via LeMat-Bulk describes a relaxed YHI3 crystal. The functional is GGA-PBEsol.

Structure (POSCAR):
```
YHI3
1.0
-2.575 2.328 -3.639
3.085 -1.976 -3.447
-3.025 -3.997 -0.416
I Y H
3 1 1
direct
0.000 0.000 0.500
0.500 0.000 0.000
0.000 0.500 0.000
0.500 0.500 0.500
0.000 0.000 0.000
```

Results
SG: Pm-3m

***

# 2
This record from Alexandria via LeMat-Bulk describes a relaxed La3YSb crystal. The functional is GGA-PBEsol.

Structure (POSCAR):
```
La3YSb
1.0
-3.987 -1.917 3.354
2.386 -5.012 -0.028
3.038 1.422 4.423
La Sb Y
3 1 1
direct
0.000 0.500 0.000
0.000 0.000 0.500
0.500 0.000 0.000
0.500 0.500 0.500
0.000 0.000 0.000
```

Results
SG: Pm-3m
energy relative to the elements, uncorrected: 0.38 eV per atom

***

# 3
This record from Alexandria via LeMat-Bulk describes a relaxed LiLaY2 crystal. The functional is GGA-PBEsol.

Structure (POSCAR):
```
LiLaY2
1.0
3.615 0.000 0.000
0.000 3.615 0.000
0.000 0.000 8.920
Y La Li
2 1 1
direct
0.000 0.000 0.975
0.500 0.500 0.242
0.000 0.000 0.523
0.500 0.500 0.760
```

Results
SG: P4mm

***

# 4
This record from Alexandria via LeMat-Bulk describes a relaxed ZrCdOs2 crystal. The functional is GGA-PBEsol.

Structure (POSCAR):
```
ZrCdOs2
1.0
-1.533 -0.443 -3.794
-0.932 -3.658 0.803
-3.688 1.235 1.346
Os Cd Zr
2 1 1
direct
0.000 0.000 0.000
0.500 0.000 0.500
0.000 0.500 0.500
0.500 0.500 0.000
```

Results
SG: P4/mmm

***

# 5
This record from Alexandria via LeMat-Bulk describes a relaxed P2BrClO crystal. The functional is GGA-PBEsol.

Structure (POSCAR):
```
P2BrClO
1.0
-0.060 0.478 3.729
-2.055 -4.554 0.550
4.586 -2.029 0.334
O P Cl Br
1 2 1 1
direct
0.500 0.000 0.000
0.000 0.000 0.500
0.000 0.500 0.000
0.500 0.500 0.500
0.000 0.000 0.000
```

Results
SG: P4/mmm
energy relative to the elements, uncorrected: 1.18 eV per atom

***

# 6
This record from Alexandria via LeMat-Bulk describes a relaxed MgZrSc crystal. The functional is GGA-PBEsol.

Structure (POSCAR):
```
MgZrSc
1.0
3.204 0.000 0.000
0.000 3.204 0.000
-1.602 -1.602 6.602
Zr Mg Sc
1 1 1
direct
0.330 0.330 0.659
0.998 0.998 0.997
0.672 0.672 0.344
```

Results
SG: I4mm

***

# 7
This record from Alexandria via LeMat-Bulk describes a relaxed Hf3Ti2Pb5O15 crystal. The functional is GGA-PBEsol.

Structure (POSCAR):
```
Hf3Ti2Pb5O15
1.0
5.725 0.000 0.000
0.000 7.040 0.010
-2.863 -2.177 8.307
Hf O Pb Ti
3 15 5 2
direct
0.000 0.005 0.000
0.204 0.803 0.408
0.602 0.399 0.203
0.782 0.195 0.079
0.981 0.992 0.491
0.489 0.486 0.978
0.889 0.076 0.777
0.186 0.780 0.880
0.296 0.667 0.592
0.297 0.195 0.079
0.510 0.992 0.491
0.094 0.882 0.188
0.697 0.279 0.395
0.693 0.780 0.880
0.589 0.378 0.687
0.385 0.595 0.284
0.899 0.595 0.284
0.099 0.378 0.687
0.409 0.149 0.819
0.015 0.530 0.030
0.812 0.738 0.625
0.223 0.324 0.446
0.623 0.928 0.246
0.805 0.214 0.610
0.405 0.618 0.811
```

Results
SG: Cm
energy relative to the elements, uncorrected: -2.48 eV per atom

***

# 8
This record from Alexandria via LeMat-Bulk describes a relaxed TaAgMo2 crystal. The functional is GGA-PBEsol.

Structure (POSCAR):
```
TaAgMo2
1.0
2.659 0.002 0.003
-0.846 5.283 0.000
-0.846 -2.655 4.567
Ag Mo Ta
1 2 1
direct
0.500 0.500 0.500
0.000 0.500 0.000
0.000 0.000 0.500
0.500 0.000 0.000
```

Results
SG: C2/m

***

# 9
This record from Alexandria via LeMat-Bulk describes a relaxed BaSrO2 crystal. The functional is GGA-PBEsol.

Structure (POSCAR):
```
BaSrO2
1.0
3.786 0.000 0.000
0.000 3.786 0.000
0.000 0.000 5.359
O Ba Sr
2 1 1
direct
0.000 0.000 0.500
0.500 0.500 0.000
0.500 0.500 0.500
0.000 0.000 0.000
```

Results
SG: P4/mmm
energy relative to the elements, uncorrected: -2.58 eV per atom

***

# 10
This record from Alexandria via LeMat-Bulk describes a relaxed ScSb3Pb4O13 crystal. The functional is GGA-PBEsol.

Structure (POSCAR):
```
ScSb3Pb4O13
1.0
7.474 -0.009 -0.006
3.728 6.477 -0.006
3.728 2.153 6.109
O Sc Pb Sb
13 1 4 3
direct
0.821 0.423 0.821
0.167 0.574 0.574
0.423 0.423 0.838
0.123 0.123 0.123
0.838 0.423 0.423
0.423 0.821 0.821
0.423 0.838 0.423
0.181 0.181 0.577
0.574 0.574 0.167
0.821 0.821 0.423
0.577 0.181 0.181
0.574 0.167 0.574
0.181 0.577 0.181
0.500 0.500 0.500
0.997 0.997 0.997
0.000 0.502 0.000
0.502 0.000 0.000
0.000 0.000 0.502
0.500 0.500 0.001
0.500 0.001 0.500
0.001 0.500 0.500
```

Results
SG: R3m
energy relative to the elements, uncorrected: -1.67 eV per atom

***

# 11
This record from Alexandria via LeMat-Bulk describes a relaxed ZnH2Pb crystal. The functional is GGA-PBEsol.

Structure (POSCAR):
```
ZnH2Pb
1.0
5.283 0.006 0.011
-1.853 4.948 -0.011
-1.853 -2.381 4.337
H Zn Pb
4 2 2
direct
0.750 0.375 0.625
0.250 0.375 0.625
0.750 0.375 0.125
0.250 0.875 0.625
0.500 0.250 0.750
0.000 0.500 0.500
0.500 0.750 0.250
0.000 0.000 0.000
```

Results
SG: I4_1/amd

***

# 12
This record from Alexandria via LeMat-Bulk describes a relaxed Sr2CoW crystal. The functional is GGA-PBEsol.

Structure (POSCAR):
```
Sr2CoW
1.0
3.130 0.000 0.000
1.565 2.711 0.000
1.565 0.904 9.953
Sr W Co
2 1 1
direct
0.742 0.742 0.774
0.258 0.258 0.226
0.500 0.500 0.500
0.000 0.000 0.000
```

Results
SG: R-3m

***

# 13
This record from Alexandria via LeMat-Bulk describes a relaxed BaNbPO2 crystal. The functional is GGA-PBEsol.

Structure (POSCAR):
```
BaNbPO2
1.0
4.205 0.000 0.000
0.000 4.205 0.000
0.000 0.000 6.419
O Nb P Ba
2 1 1 1
direct
0.000 0.500 0.000
0.500 0.000 0.000
0.500 0.500 0.500
0.000 0.000 0.500
0.000 0.000 0.000
```

Results
SG: P4/mmm
energy relative to the elements, uncorrected: 0.50 eV per atom

***

# 14
This record from Alexandria via LeMat-Bulk describes a relaxed Rh3W crystal. The functional is GGA-PBEsol.

Structure (POSCAR):
```
Rh3W
1.0
2.732 0.000 0.000
0.000 4.325 0.000
0.000 0.000 4.713
W Rh
1 3
direct
0.000 0.500 0.327
0.500 0.000 0.504
0.000 0.000 0.999
0.500 0.500 0.837
```

Results
SG: Pmm2

***

# 15
This record from Alexandria via LeMat-Bulk describes a relaxed BOF2 crystal. The functional is GGA-PBEsol.

Structure (POSCAR):
```
BOF2
1.0
3.699 0.000 0.000
1.850 3.204 0.000
1.850 1.068 3.021
B F O
1 2 1
direct
0.000 0.000 0.000
0.250 0.250 0.250
0.750 0.750 0.750
0.500 0.500 0.500
```

Results
SG: Fm-3m
energy relative to the elements, uncorrected: 0.98 eV per atom

***

# 16
This record from Alexandria via LeMat-Bulk describes a relaxed SiRh2Pb crystal. The functional is GGA-PBEsol.

Structure (POSCAR):
```
SiRh2Pb
1.0
3.118 0.000 0.000
1.559 2.700 0.000
1.559 0.900 8.151
Rh Pb Si
2 1 1
direct
0.004 0.004 0.988
0.758 0.758 0.725
0.253 0.253 0.240
0.484 0.484 0.547
```

Results
SG: R3m
energy relative to the elements, uncorrected: 0.15 eV per atom

***

# 17
This record from Alexandria via LeMat-Bulk describes a relaxed SrPd crystal. The functional is GGA-PBEsol.

Structure (POSCAR):
```
SrPd
1.0
-1.825 -2.177 -3.103
3.848 -0.026 -2.245
2.342 -3.681 4.056
Pd Sr
2 2
direct
0.570 0.750 0.141
0.430 0.250 0.859
0.860 0.750 0.720
0.140 0.250 0.280
```

Results
SG: Cmcm

***

# 18
This record from Alexandria via LeMat-Bulk describes a relaxed NiSb3N crystal. The functional is GGA-PBEsol.

Structure (POSCAR):
```
NiSb3N
1.0
-2.604 2.824 2.501
-3.761 -1.706 -1.989
-0.295 -3.182 3.286
Ni Sb N
1 3 1
direct
0.500 0.500 0.500
0.500 0.000 0.000
0.000 0.000 0.500
0.000 0.500 0.000
0.000 0.000 0.000
```

Results
SG: Pm-3m
energy relative to the elements, uncorrected: 0.68 eV per atom

***

# 19
This record from Alexandria via LeMat-Bulk describes a relaxed CaMg crystal. The functional is GGA-PBEsol.

Structure (POSCAR):
```
CaMg
1.0
-1.783 -0.310 4.242
1.572 -3.192 2.934
2.512 1.265 3.655
Ca Mg
1 1
direct
0.000 0.000 0.000
0.500 0.500 0.500
```

Results
SG: Fm-3m

***

# 20
This record from Alexandria via LeMat-Bulk describes a relaxed SrHg2Cl crystal. The functional is GGA-PBEsol.

Structure (POSCAR):
```
SrHg2Cl
1.0
-4.227 0.839 -0.765
-2.098 -2.093 -3.220
-4.090 -5.947 3.556
Hg Sr Cl
2 1 1
direct
0.747 0.747 0.758
0.017 0.017 0.948
0.507 0.507 0.480
0.229 0.229 0.313
```

Results
SG: R3m
energy relative to the elements, uncorrected: -0.89 eV per atom

***

Computed electronic total energy, in the same sequence as the records: -3.1874 -5.1065 -5.1563 -8.5430 -2.9645 -5.8416 -8.3553 -9.5587 -6.2038 -6.6420 -2.7534 -4.9596 -5.3479 -9.7488 -3.0477 -6.3562 -4.4392 -4.9907 -1.6790 -2.1308 eV per atom.